CaHf3Ir | GGA-PBEsol | optimized geometry

Output
* formation energy: 0.147 eV per atom
* volume: 129.2 Å³/cell
* density of states at the Fermi level: 6.1 states/eV per cell
* magnetization: 0.00 μB/f.u.

abc: 5.0556 5.0556 5.0556
angles: 90.00 90.00 90.00
Atoms (fractional coordinates):
Ca: 0.5000 0.5000 0.5000
Ir: 0.0000 0.0000 0.0000
Hf: 0.0000 0.5000 0.0000
Hf: 0.0000 0.0000 0.5000
Hf: 0.5000 0.0000 0.0000



Ni3Br | GGA-PBEsol | optimized geometry

Output
* volume: 49.2 Å³/cell
* density of states at the Fermi level: 4.9 states/eV per cell
* uncorrected formation energy: 2.210 eV per formula unit
* magnetization: 0.44 μB/f.u.

abc: 2.9314 4.1008 4.8043
angles: 115.26 107.76 90.00
Last column: magnetic moment on the atom in μB.
Atoms (fractional coordinates):
Br: 0.0000 0.5000 0.0000  0.01
Ni: 0.7388 0.7388 0.4777  0.19
Ni: 0.2612 0.2612 0.5223  0.19
Ni: 0.5000 0.0000 0.0000  0.06



Mg2HgP | GGA-PBEsol | optimized geometry

Output
* formation energy: -0.275 eV per atom
* volume: 81.9 Å³/cell
* density of states at the Fermi level: 1.3 states/eV per cell
* magnetization: 0.00 μB/f.u.

abc: 3.3647 3.9188 6.7249
angles: 106.94 104.49 90.00
Atoms (fractional coordinates):
Hg: 0.8005 0.3005 0.6011
Mg: 0.9800 0.9800 0.9600
Mg: 0.1921 0.6921 0.3842
P: 0.5274 0.5274 0.0547



Please write out number 2 again, unchanged.
Ni3Br | GGA-PBEsol | optimized geometry

Output
* volume: 49.2 Å³/cell
* density of states at the Fermi level: 4.9 states/eV per cell
* uncorrected formation energy: 2.210 eV per formula unit
* magnetization: 0.44 μB/f.u.

abc: 2.9314 4.1008 4.8043
angles: 115.26 107.76 90.00
Last column: magnetic moment on the atom in μB.
Atoms (fractional coordinates):
Br: 0.0000 0.5000 0.0000  0.01
Ni: 0.7388 0.7388 0.4777  0.19
Ni: 0.2612 0.2612 0.5223  0.19
Ni: 0.5000 0.0000 0.0000  0.06



Repeat the second record exactly.
Ni3Br | GGA-PBEsol | optimized geometry

Output
* volume: 49.2 Å³/cell
* density of states at the Fermi level: 4.9 states/eV per cell
* uncorrected formation energy: 2.210 eV per formula unit
* magnetization: 0.44 μB/f.u.

abc: 2.9314 4.1008 4.8043
angles: 115.26 107.76 90.00
Last column: magnetic moment on the atom in μB.
Atoms (fractional coordinates):
Br: 0.0000 0.5000 0.0000  0.01
Ni: 0.7388 0.7388 0.4777  0.19
Ni: 0.2612 0.2612 0.5223  0.19
Ni: 0.5000 0.0000 0.0000  0.06